Record 1
A plane-wave DFT calculation with PBE-GGA was carried out for crystalline Sr6Bi2AsI3 at its relaxed geometry.

Geometry as extended XYZ:
```
12
Lattice="-6.537 -2.858 -4.401 6.892 -4.703 0.809 -3.123 -0.755 7.781" Properties=species:S:1:pos:R:3 pbc="T T T"
I 3.119 -4.777 3.842
Bi 2.420 -4.088 -0.926
I -5.887 -3.539 0.347
Bi -2.065 -3.472 -2.666
Sr 1.553 -2.166 1.624
I -1.384 -4.158 2.095
Sr -0.079 -6.733 4.212
As 0.000 0.000 0.000
Sr -2.689 -1.583 -0.022
Sr -2.388 -2.469 5.281
Sr -4.321 -6.150 2.566
Sr -0.380 -5.846 -1.091
```

final energy: -3.559 eV/atom
formation energy (no corrections): -15.55 eV/f.u.
size of the total moment: 0.00 μB per formula unit

***

Record 2
A plane-wave DFT calculation with PBE-GGA was carried out for crystalline Sr6BiAs2I3 at its relaxed geometry.

Geometry as extended XYZ:
```
12
Lattice="8.191 -0.002 0.002 -4.095 7.094 0.002 -1.365 -2.363 7.940" Properties=species:S:1:pos:R:3 pbc="T T T"
Sr 4.166 2.246 6.333
Sr 2.868 -0.002 1.609
Bi 0.000 0.000 0.000
I 1.366 2.364 3.971
Sr 2.661 4.608 1.611
I 5.466 -0.004 3.971
As 4.094 2.364 0.002
I -2.735 4.733 3.971
As 0.002 4.728 0.002
Sr -0.137 4.731 6.333
Sr -1.435 2.483 1.609
Sr 0.070 0.121 6.331
```

final energy: -3.697 eV/atom
formation energy (no corrections): -16.44 eV/f.u.
size of the total moment: 0.00 μB per formula unit

***

Record 3
A plane-wave DFT calculation with PBE-GGA was carried out for crystalline Sr4BiAsI2 at its relaxed geometry.

Geometry as extended XYZ:
```
8
Lattice="-1.631 -0.125 4.486 -3.045 -7.720 -1.322 5.809 -5.607 1.956" Properties=species:S:1:pos:R:3 pbc="T T T"
Sr -1.345 -7.041 1.856
I 2.089 -2.866 3.221
Bi -2.338 -3.922 1.582
Sr 2.477 -6.411 3.264
As 1.382 -6.663 0.317
Sr -1.070 -3.784 4.588
Sr 2.203 -9.668 0.531
I 5.809 -5.607 1.956
```

final energy: -3.620 eV/atom
formation energy (no corrections): -10.60 eV/f.u.
size of the total moment: 0.00 μB per formula unit

***

Record 4
A plane-wave DFT calculation with PBE-GGA was carried out for crystalline Tl2BiAsI at its relaxed geometry.

Geometry as extended XYZ:
```
5
Lattice="-5.948 0.675 1.654 1.540 -0.664 5.810 0.830 6.136 0.481" Properties=species:S:1:pos:R:3 pbc="T T T"
Bi 0.770 -0.332 2.905
Tl -2.974 0.337 0.827
I 0.000 0.000 0.000
As -1.789 3.073 3.973
Tl 0.415 3.068 0.241
```

final energy: -2.240 eV/atom
formation energy (no corrections): 3.61 eV/f.u.
size of the total moment: 0.00 μB per formula unit
distance to the lowest polymorph of the same formula: 384 meV/atom

***

Record 5
A plane-wave DFT calculation with PBE-GGA was carried out for crystalline Tl2BiAsI at its relaxed geometry.

Geometry as extended XYZ:
```
5
Lattice="-3.266 0.803 4.575 -2.065 -5.102 -0.579 4.133 -2.049 3.310" Properties=species:S:1:pos:R:3 pbc="T T T"
Tl 2.067 -1.024 1.655
Bi -0.599 -3.174 3.653
Tl -1.633 0.401 2.287
I -1.032 -2.551 -0.290
As 0.000 0.000 0.000
```

final energy: -2.623 eV/atom
formation energy (no corrections): 1.70 eV/f.u.
size of the total moment: 0.00 μB per formula unit
distance to the lowest polymorph of the same formula: 0 meV/atom

***

Record 6
A plane-wave DFT calculation with PBE-GGA was carried out for crystalline ZrBiAsI2 at its relaxed geometry.

Geometry as extended XYZ:
```
5
Lattice="6.092 0.000 0.000 0.000 5.902 0.000 0.000 0.000 6.092" Properties=species:S:1:pos:R:3 pbc="T T T"
Bi 0.000 0.000 0.000
Zr 0.000 2.951 0.000
I 0.000 0.000 3.046
As 3.046 2.951 3.046
I 3.046 0.000 0.000
```

final energy: -3.080 eV/atom
formation energy (no corrections): 4.78 eV/f.u.
size of the total moment: 0.47 μB per formula unit

***

Record 7
A plane-wave DFT calculation with PBE-GGA was carried out for crystalline InBiAs2 at its relaxed geometry.

Geometry as extended XYZ:
```
4
Lattice="4.075 0.000 0.000 2.038 3.529 0.000 2.038 1.176 7.224" Properties=species:S:1:pos:R:3 pbc="T T T"
In 4.075 2.353 3.618
As 2.038 1.176 5.373
Bi 6.113 3.529 7.181
As 2.038 1.176 1.888
```

final energy: -3.923 eV/atom
size of the total moment: 0.00 μB per formula unit
distance to the lowest polymorph of the same formula: 69 meV/atom
formation enthalpy at 0 K: 22 kJ/mol of formula units

***

Record 8
A plane-wave DFT calculation with PBE-GGA was carried out for crystalline In2Bi2As at its relaxed geometry.

Geometry as extended XYZ:
```
10
Lattice="-3.473 -3.293 -5.838 4.217 -6.184 0.979 -3.544 -1.913 3.187" Properties=species:S:1:pos:R:3 pbc="T T T"
Bi -3.246 -5.942 -3.038
In 0.925 -2.647 -0.560
As 0.372 -4.738 -2.429
In 2.366 -6.372 -1.192
In -0.181 -6.830 -4.299
Bi 0.447 -5.447 1.366
Bi -2.374 -3.029 -0.319
In -1.622 -3.105 -3.667
As 0.000 0.000 0.000
Bi -0.426 -8.360 -1.352
```

final energy: -3.329 eV/atom
size of the total moment: 0.00 μB per formula unit
distance to the lowest polymorph of the same formula: 59 meV/atom
formation enthalpy at 0 K: 120 kJ/mol of formula units

***

Record 9
A plane-wave DFT calculation with PBE-GGA was carried out for crystalline InBiAs2 at its relaxed geometry.

Geometry as extended XYZ:
```
4
Lattice="4.185 0.000 0.000 2.092 3.624 0.000 2.092 1.208 6.719" Properties=species:S:1:pos:R:3 pbc="T T T"
As 2.092 1.208 1.579
In 0.000 0.000 0.000
As 6.277 3.624 5.139
Bi 4.185 2.416 3.359
```

final energy: -3.992 eV/atom
size of the total moment: 0.00 μB per formula unit
distance to the lowest polymorph of the same formula: 0 meV/atom
formation enthalpy at 0 K: -5 kJ/mol of formula units

***

Record 10
A plane-wave DFT calculation with PBE-GGA was carried out for crystalline InBiAs2 at its relaxed geometry.

Geometry as extended XYZ:
```
8
Lattice="-1.408 -0.243 -6.307 5.911 -2.317 -1.231 0.044 -7.295 -3.045" Properties=species:S:1:pos:R:3 pbc="T T T"
As 1.883 -6.495 -5.144
As 3.491 -3.309 -2.491
As 3.812 -7.648 -8.846
Bi 0.444 -4.409 -6.561
As -0.092 -2.259 -4.685
In 2.251 -1.280 -3.769
Bi 0.000 0.000 0.000
In 4.103 -5.446 -4.022
```

final energy: -3.934 eV/atom
size of the total moment: 0.00 μB per formula unit
distance to the lowest polymorph of the same formula: 58 meV/atom
formation enthalpy at 0 K: 18 kJ/mol of formula units

***

Record 11
A plane-wave DFT calculation with PBE-GGA was carried out for crystalline InBi3As at its relaxed geometry.

Geometry as extended XYZ:
```
5
Lattice="-0.715 1.633 -5.330 -4.234 -3.654 -0.551 -3.625 3.945 1.695" Properties=species:S:1:pos:R:3 pbc="T T T"
Bi -0.357 0.816 -2.665
Bi -1.813 1.973 0.847
In -4.287 0.962 -2.093
Bi -2.117 -1.827 -0.276
As 0.000 0.000 0.000
```

final energy: -3.351 eV/atom
size of the total moment: 0.00 μB per formula unit
distance to the lowest polymorph of the same formula: 0 meV/atom
formation enthalpy at 0 K: 219 kJ/mol of formula units

***

Record 12
A plane-wave DFT calculation with PBE-GGA was carried out for crystalline InBi2As2 at its relaxed geometry.

Geometry as extended XYZ:
```
10
Lattice="8.387 0.000 0.000 0.000 8.387 0.000 0.000 0.000 3.884" Properties=species:S:1:pos:R:3 pbc="T T T"
Bi 7.151 5.429 0.000
Bi 2.958 7.151 0.000
In 4.193 4.193 0.000
Bi 5.429 1.236 0.000
As 5.533 7.047 1.942
As 1.340 5.533 1.942
In 0.000 0.000 0.000
As 2.854 1.340 1.942
As 7.047 2.854 1.942
Bi 1.236 2.958 0.000
```

final energy: -3.751 eV/atom
size of the total moment: 0.00 μB per formula unit
distance to the lowest polymorph of the same formula: 81 meV/atom
formation enthalpy at 0 K: 101 kJ/mol of formula units